(1)
VASP calculation (PBE) on a relaxed Sr2TcNiN6 crystal.

```
data_Sr2TcNiN6
_chemical_formula_sum 'Sr2 Tc1 Ni1 N6'
_symmetry_space_group_name_H-M 'P 1'
_symmetry_Int_Tables_number 1
_cell_length_a 5.510
_cell_length_b 5.513
_cell_length_c 5.514
_cell_angle_alpha 60.02
_cell_angle_beta 60.12
_cell_angle_gamma 60.03
loop_
_symmetry_equiv_pos_as_xyz
'x,y,z'
loop_
_atom_site_label
_atom_site_type_symbol
_atom_site_fract_x
_atom_site_fract_y
_atom_site_fract_z
N1 N 0.751 0.748 0.248
N2 N 0.753 0.748 0.752
N3 N 0.751 0.253 0.249
N4 N 0.249 0.252 0.752
N5 N 0.247 0.252 0.248
N6 N 0.249 0.747 0.751
Ni1 Ni 0.000 0.500 0.000
Tc1 Tc 0.500 0.000 0.500
Sr1 Sr 0.249 0.750 0.250
Sr2 Sr 0.751 0.250 0.750
```

Properties
Space group: Immm
DFT total energy (Ry per atom): -0.4841

***

(2)
VASP calculation (PBE) on a relaxed Ta2NiN crystal.

```
data_Ta2NiN
_chemical_formula_sum 'Ta4 Ni2 N2'
_symmetry_space_group_name_H-M 'P 1'
_symmetry_Int_Tables_number 1
_cell_length_a 3.084
_cell_length_b 3.084
_cell_length_c 12.879
_cell_angle_alpha 90.00
_cell_angle_beta 90.00
_cell_angle_gamma 120.00
loop_
_symmetry_equiv_pos_as_xyz
'x,y,z'
loop_
_atom_site_label
_atom_site_type_symbol
_atom_site_fract_x
_atom_site_fract_y
_atom_site_fract_z
Ta1 Ta 0.333 0.667 0.405
Ta2 Ta 0.333 0.667 0.095
Ta3 Ta 0.667 0.333 0.595
Ta4 Ta 0.667 0.333 0.905
N1 N 0.000 0.000 0.000
N2 N 0.000 0.000 0.500
Ni1 Ni 0.667 0.333 0.250
Ni2 Ni 0.333 0.667 0.750
```

Properties
Space group: P6_3/mmc
DFT total energy (Ry per atom): -0.7282

***

(3)
VASP calculation (PBE) on a relaxed Ta2NiN crystal.

```
data_Ta2NiN
_chemical_formula_sum 'Ta12 Ni6 N6'
_symmetry_space_group_name_H-M 'P 1'
_symmetry_Int_Tables_number 1
_cell_length_a 5.196
_cell_length_b 5.228
_cell_length_c 13.450
_cell_angle_alpha 101.11
_cell_angle_beta 90.00
_cell_angle_gamma 119.80
loop_
_symmetry_equiv_pos_as_xyz
'x,y,z'
loop_
_atom_site_label
_atom_site_type_symbol
_atom_site_fract_x
_atom_site_fract_y
_atom_site_fract_z
Ni1 Ni 0.416 0.455 0.249
Ni2 Ni 0.962 0.545 0.251
Ni3 Ni 0.584 0.545 0.751
Ni4 Ni 0.129 0.000 0.750
Ni5 Ni 0.871 0.000 0.250
Ni6 Ni 0.038 0.455 0.749
Ta1 Ta 0.382 0.928 0.129
Ta2 Ta 0.798 0.774 0.409
Ta3 Ta 0.546 0.928 0.629
Ta4 Ta 0.024 0.226 0.091
Ta5 Ta 0.976 0.774 0.909
Ta6 Ta 0.862 0.558 0.591
Ta7 Ta 0.304 0.442 0.909
Ta8 Ta 0.202 0.226 0.591
Ta9 Ta 0.618 0.072 0.871
Ta10 Ta 0.138 0.442 0.409
Ta11 Ta 0.454 0.072 0.371
Ta12 Ta 0.696 0.558 0.091
N1 N 0.650 0.849 0.000
N2 N 0.000 0.500 0.000
N3 N 0.500 0.500 0.500
N4 N 0.199 0.849 0.500
N5 N 0.801 0.151 0.500
N6 N 0.350 0.151 0.000
```

Properties
Space group: C2/c
DFT total energy (Ry per atom): -0.7307

***

(4)
VASP calculation (PBE) on a relaxed Ta4TlNiN2 crystal.

```
data_Ta4TlNiN2
_chemical_formula_sum 'Ta4 Tl1 Ni1 N2'
_symmetry_space_group_name_H-M 'P 1'
_symmetry_Int_Tables_number 1
_cell_length_a 3.151
_cell_length_b 3.151
_cell_length_c 13.493
_cell_angle_alpha 90.00
_cell_angle_beta 90.00
_cell_angle_gamma 120.00
loop_
_symmetry_equiv_pos_as_xyz
'x,y,z'
loop_
_atom_site_label
_atom_site_type_symbol
_atom_site_fract_x
_atom_site_fract_y
_atom_site_fract_z
N1 N 0.333 0.667 0.229
N2 N 0.333 0.667 0.771
Ta1 Ta 0.000 0.000 0.682
Ta2 Ta 0.667 0.333 0.858
Ta3 Ta 0.667 0.333 0.142
Ta4 Ta 0.000 0.000 0.318
Ni1 Ni 0.000 0.000 0.000
Tl1 Tl 0.667 0.333 0.500
```

Properties
Space group: P-6m2
DFT total energy (Ry per atom): -0.6906

***

no.,theoretical density (Mg/m³)
1,5.825
2,13.605
3,14.006
4,14.527